No. 1
Below is a geometry-optimized BaInHg2Pt structure, with properties calculated at the PBE level.

Unit cell a=5.368 b=5.368 c=5.194 alpha=90.00 beta=90.00 gamma=90.00
Space group P4/mmm (No. 123)
Symmetry-distinct sites (fractional):
Ba 0.000 0.000 0.000 [1 per cell]
In 0.500 0.500 0.000 [1 per cell]
Hg 0.000 0.500 0.500 [2 per cell]
Pt 0.500 0.500 0.500 [1 per cell]

## Properties
M_tot	0.0	μB/f.u.
ΔE_f	-0.38	eV/atom
ΔE to the lowest computed polymorph	0.078	eV/atom

---

No. 2
Below is a geometry-optimized BaInHgPt2 structure, with properties calculated at the PBE level.

Unit cell a=5.137 b=5.137 c=5.260 alpha=90.00 beta=90.00 gamma=90.00
Space group P4/mmm (No. 123)
Symmetry-distinct sites (fractional):
Ba 0.000 0.000 0.000 [1 per cell]
In 0.500 0.500 0.500 [1 per cell]
Hg 0.500 0.500 0.000 [1 per cell]
Pt 0.000 0.500 0.500 [2 per cell]

## Properties
M_tot	0.0	μB/f.u.
ΔE_f	-0.09	eV/atom

---

No. 3
Below is a geometry-optimized BaInHg2Pt structure, with properties calculated at the PBE level.

Unit cell a=4.578 b=4.868 c=12.373 alpha=90.00 beta=90.00 gamma=90.00
Space group Imm2 (No. 44)
Symmetry-distinct sites (fractional):
Ba 0.000 0.000 0.000 [2 per cell]
In 0.000 0.500 0.764 [2 per cell]
Hg 0.000 0.000 0.610 [2 per cell]
Hg 0.000 0.500 0.270 [2 per cell]
Pt 0.000 0.000 0.387 [2 per cell]

## Properties
M_tot	0.0	μB/f.u.
ΔE_f	-0.46	eV/atom
ΔE to the lowest computed polymorph	0.000	eV/atom

---

No. 4
Below is a geometry-optimized BaIn2HgPt structure, with properties calculated at the PBE level.

Unit cell a=5.246 b=5.246 c=5.388 alpha=90.00 beta=90.00 gamma=90.00
Space group P4/mmm (No. 123)
Symmetry-distinct sites (fractional):
Ba 0.000 0.000 0.000 [1 per cell]
In 0.000 0.500 0.500 [2 per cell]
Hg 0.500 0.500 0.000 [1 per cell]
Pt 0.500 0.500 0.500 [1 per cell]

## Properties
M_tot	0.0	μB/f.u.
ΔE_f	-0.39	eV/atom
ΔE to the lowest computed polymorph	0.032	eV/atom

---

No. 5
Below is a geometry-optimized BaInHg2Rh structure, with properties calculated at the PBE level.

Unit cell a=5.345 b=5.345 c=5.122 alpha=90.00 beta=90.00 gamma=90.00
Space group P4/mmm (No. 123)
Symmetry-distinct sites (fractional):
Ba 0.000 0.000 0.000 [1 per cell]
In 0.500 0.500 0.000 [1 per cell]
Hg 0.000 0.500 0.500 [2 per cell]
Rh 0.500 0.500 0.500 [1 per cell]

## Properties
M_tot	0.0	μB/f.u.
ΔE_f	-0.33	eV/atom

---

No. 6
Below is a geometry-optimized Ba2InHg6Rh structure, with properties calculated at the PBE level.

Unit cell a=6.864 b=6.904 c=7.016 alpha=75.69 beta=75.36 gamma=73.95
Space group P-1 (No. 2)
Symmetry-distinct sites (fractional):
Ba 0.203 0.219 0.223 [2 per cell]
In 0.500 0.500 0.500 [1 per cell]
Hg 0.139 0.715 0.323 [2 per cell]
Hg 0.306 0.662 0.877 [2 per cell]
Hg 0.329 0.135 0.716 [2 per cell]
Rh 0.000 0.000 0.000 [1 per cell]

## Properties
M_tot	0.0	μB/f.u.
ΔE_f	-0.26	eV/atom

---

No. 7
Below is a geometry-optimized BaIn2HgRu structure, with properties calculated at the PBE level.

Unit cell a=5.181 b=5.181 c=5.411 alpha=90.00 beta=90.00 gamma=90.00
Space group P4/mmm (No. 123)
Symmetry-distinct sites (fractional):
Ba 0.000 0.000 0.000 [1 per cell]
In 0.000 0.500 0.500 [2 per cell]
Hg 0.500 0.500 0.000 [1 per cell]
Ru 0.500 0.500 0.500 [1 per cell]

## Properties
M_tot	0.0	μB/f.u.
ΔE_f	-0.22	eV/atom

---

No. 8
Below is a geometry-optimized Ba2InHg4Sb2 structure, with properties calculated at the PBE level.

Unit cell a=7.266 b=7.266 c=10.966 alpha=90.00 beta=90.00 gamma=90.00
Space group I4/mmm (No. 139)
Symmetry-distinct sites (fractional):
Ba 0.000 0.500 0.250 [4 per cell]
In 0.000 0.000 0.000 [2 per cell]
Hg 0.214 0.214 0.500 [8 per cell]
Sb 0.000 0.000 0.273 [4 per cell]

## Properties
formation energy without anion corrections	-42.47	kJ per mole of atoms
M_tot	0.0	μB/f.u.

---

No. 9
Below is a geometry-optimized BaInHg2Sb structure, with properties calculated at the PBE level.

Unit cell a=4.985 b=5.161 c=12.217 alpha=90.00 beta=90.00 gamma=90.00
Space group Imm2 (No. 44)
Symmetry-distinct sites (fractional):
Ba 0.000 0.000 0.000 [2 per cell]
In 0.000 0.500 0.751 [2 per cell]
Hg 0.000 0.000 0.376 [2 per cell]
Hg 0.000 0.500 0.266 [2 per cell]
Sb 0.000 0.000 0.611 [2 per cell]

## Properties
formation energy without anion corrections	-38.98	kJ per mole of atoms
M_tot	0.0	μB/f.u.

---

No. 10
Below is a geometry-optimized Ba2InHgSe4 structure, with properties calculated at the PBE level.

Unit cell a=11.863 b=13.382 c=8.823 alpha=90.00 beta=131.23 gamma=90.00
Space group C2/c (No. 15)
Symmetry-distinct sites (fractional):
Ba 0.000 0.000 0.000 [4 per cell]
Ba 0.250 0.250 0.000 [4 per cell]
In 0.000 0.500 0.000 [4 per cell]
Hg 0.250 0.250 0.500 [4 per cell]
Se 0.034 0.255 0.506 [8 per cell]
Se 0.233 0.492 0.994 [8 per cell]

## Properties
formation energy without anion corrections	-99.15	kJ per mole of atoms
M_tot	0.0	μB/f.u.

---

No. 11
Below is a geometry-optimized Ba2In4SiHg3 structure, with properties calculated at the PBE level.

Unit cell a=4.946 b=4.946 c=11.919 alpha=90.00 beta=90.00 gamma=90.00
Space group P-4m2 (No. 115)
Symmetry-distinct sites (fractional):
Ba 0.000 0.500 0.238 [2 per cell]
In 0.000 0.000 0.500 [1 per cell]
In 0.000 0.500 0.878 [2 per cell]
In 0.500 0.500 0.500 [1 per cell]
Si 0.500 0.500 0.000 [1 per cell]
Hg 0.000 0.000 0.000 [1 per cell]
Hg 0.000 0.500 0.640 [2 per cell]

## Properties
formation energy without anion corrections	-29.85	kJ per mole of atoms
M_tot	0.0	μB/f.u.

---

No. 12
Below is a geometry-optimized Ba2SmIn3Hg12 structure, with properties calculated at the PBE level.

Unit cell a=7.0225 b=7.0225 c=39.2336 alpha=90.00 beta=90.00 gamma=120.00
Space group R-3m (No. 166, hexagonal axes)
Symmetry-distinct sites (fractional):
Ba 0.0000 0.0000 0.1382 [6 per cell]
Sm 0.0000 0.0000 0.5000 [3 per cell]
In 0.0000 0.5000 0.0000 [9 per cell]
Hg 0.0167 0.5084 0.8893 [18 per cell]
Hg 0.0380 0.5190 0.6125 [18 per cell]

## Properties
M_tot	0.0	μB/f.u.
ΔE_f	-0.17	eV/atom